The following is a PBEsol calculation of a relaxed structure of C2SeClF, from Alexandria via LeMat-Bulk.

a b c (Å): 3.7493 3.7493 5.3419
angles (deg): 90.00 90.00 90.00
Sites, in units of the cell vectors:
C 0.0000 0.5000 0.0000
C 0.5000 0.0000 0.0000
Se 0.0000 0.0000 0.5000
Cl 0.5000 0.5000 0.5000
F 0.5000 0.5000 0.0000

Computed properties:
Total magnetic moment ... 1.36 μB/f.u.
Formation energy without anion corrections ... 2.409 eV/atom
Crystal system ... tetragonal